1.
Density functional theory data (SCAN) for LaBC at its PBEsol-relaxed geometry.

- DFT formation energy (eV/atom) = -0.4874
- size of the total moment (μB/f.u.) = 0.0
- D(E_F) (states/eV/atom) = 0.273

Cell: 8.566 8.601 12.301 Å, 90.00 90.00 90.00°
Positions (direct):
1 La 0.051 0.097 0.141
2 La 0.061 0.699 0.633
3 La 0.159 0.994 0.419
4 La 0.160 0.593 0.905
5 La 0.245 0.290 0.672
6 La 0.255 0.710 0.172
7 La 0.340 0.407 0.405
8 La 0.341 0.006 0.919
9 La 0.439 0.301 0.133
10 La 0.449 0.903 0.641
11 La 0.551 0.403 0.859
12 La 0.561 0.801 0.367
13 La 0.659 0.506 0.581
14 La 0.660 0.907 0.095
15 La 0.745 0.210 0.328
16 La 0.755 0.790 0.828
17 La 0.840 0.093 0.595
18 La 0.841 0.494 0.081
19 La 0.939 0.199 0.867
20 La 0.949 0.597 0.359
21 B 0.019 0.887 0.960
22 B 0.062 0.299 0.321
23 B 0.099 0.973 0.742
24 B 0.118 0.396 0.213
25 B 0.186 0.309 0.992
26 B 0.314 0.691 0.492
27 B 0.382 0.604 0.713
28 B 0.401 0.027 0.242
29 B 0.438 0.701 0.821
30 B 0.481 0.113 0.460
31 B 0.519 0.613 0.040
32 B 0.562 0.201 0.679
33 B 0.599 0.527 0.258
34 B 0.618 0.104 0.787
35 B 0.686 0.191 0.008
36 B 0.814 0.809 0.508
37 B 0.882 0.896 0.287
38 B 0.901 0.473 0.758
39 B 0.938 0.799 0.179
40 B 0.981 0.387 0.540
41 C 0.025 0.305 0.438
42 C 0.056 0.891 0.843
43 C 0.142 0.000 0.628
44 C 0.147 0.394 0.094
45 C 0.247 0.298 0.881
46 C 0.253 0.702 0.381
47 C 0.353 0.606 0.594
48 C 0.358 0.000 0.128
49 C 0.444 0.109 0.343
50 C 0.475 0.695 0.938
51 C 0.525 0.195 0.562
52 C 0.556 0.609 0.157
53 C 0.642 0.500 0.372
54 C 0.647 0.106 0.906
55 C 0.747 0.202 0.119
56 C 0.753 0.798 0.619
57 C 0.853 0.894 0.406
58 C 0.858 0.500 0.872
59 C 0.944 0.391 0.657
60 C 0.975 0.805 0.062


2.
Density functional theory data (SCAN) for ZnFe2O4 at its PBEsol-relaxed geometry.

- size of the total moment (μB/f.u.) = 4.0
- distance to the lowest polymorph of the same formula (meV per atom) = 0.0
- formation energy from raw total energies (eV/atom) = -1.59

Cell: 5.837 5.837 5.837 Å, 58.34 58.34 58.34°
Positions (direct):
1 Zn 0.000 0.000 0.000
2 Zn 0.373 0.373 0.373
3 Fe 0.502 0.995 0.995
4 Fe 0.620 0.620 0.620
5 Fe 0.995 0.502 0.995
6 Fe 0.995 0.995 0.502
7 O 0.217 0.749 0.749
8 O 0.234 0.234 0.234
9 O 0.248 0.248 0.785
10 O 0.248 0.785 0.248
11 O 0.749 0.217 0.749
12 O 0.749 0.749 0.217
13 O 0.756 0.756 0.756
14 O 0.785 0.248 0.248


Q: Which formula does entry 2 have?
A: ZnFe2O4


Q: The highest size of the total moment belongs to which entry?
A: ZnFe2O4